Below is a relaxed structure of Be2BS, with properties calculated at the PBE-GGA level.

abc: 3.378 4.979 6.170
angles: 108.21 99.17 102.20
Space group P1 (No. 1)
One atom of each set of equivalent atoms:
Be (0.000, 0.000, 0.000) (multiplicity 1)
Be (0.117, 0.395, 0.601) (multiplicity 1)
Be (0.304, 0.013, 0.407) (multiplicity 1)
Be (0.826, 0.580, 0.352) (multiplicity 1)
B (0.231, 0.342, 0.301) (multiplicity 1)
B (0.270, 0.594, 0.189) (multiplicity 1)
S (0.378, 0.708, 0.934) (multiplicity 1)
S (0.876, 0.010, 0.635) (multiplicity 1)

Values from the calculation:
Final energy, eV/cell: -37.5
Relative energy among the computed polymorphs, eV/f.u.: 0.90
DOS(E_F), states/eV/cell: 0.91
Calculated volume, Å³ per cell: 93.5